## Te2Mo3WSe2S4 (meta-GGA SCAN)

Data for Te2Mo3WSe2S4 at its PBEsol-relaxed geometry.

Computed properties:
Formation energy without anion corrections: -636 meV per atom

Cell lengths 3.253, 3.253, 26.072 Å; angles 90.00, 90.00, 120.00 degrees
Positions (direct):
W 0.000 0.000 0.509
Mo 0.000 0.000 0.989
Mo 0.667 0.333 0.252
S 0.000 0.000 0.688
S 0.667 0.333 0.568
Mo 0.667 0.333 0.747
Te 0.000 0.000 0.325
S 0.000 0.000 0.805
Se 0.667 0.333 0.925
Se 0.667 0.333 0.053
S 0.667 0.333 0.451
Te 0.000 0.000 0.179

## Te4MoW3Se2S2 (meta-GGA SCAN)

Data for Te4MoW3Se2S2 at its PBEsol-relaxed geometry.

Computed properties:
Formation energy without anion corrections: -358 meV per atom

Cell lengths 3.339, 3.339, 26.908 Å; angles 90.00, 90.00, 120.00 degrees
Positions (direct):
W 0.000 0.000 0.254
Te 0.333 0.667 0.324
W 0.333 0.667 0.500
W 0.333 0.667 0.998
Te 0.333 0.667 0.815
S 0.000 0.000 0.444
Te 0.333 0.667 0.676
Se 0.000 0.000 0.937
Mo 0.000 0.000 0.745
Te 0.333 0.667 0.184
S 0.000 0.000 0.556
Se 0.000 0.000 0.060

## MoW3Se4S4 (meta-GGA SCAN)

Data for MoW3Se4S4 at its PBEsol-relaxed geometry.

Computed properties:
Formation energy without anion corrections: -695 meV per atom

Cell lengths 3.205, 3.205, 25.561 Å; angles 90.00, 90.00, 120.00 degrees
Positions (direct):
S 0.667 0.333 0.439
Se 0.000 0.000 0.182
W 0.667 0.333 0.248
S 0.667 0.333 0.560
Mo 0.000 0.000 0.999
Se 0.000 0.000 0.684
Se 0.000 0.000 0.315
Se 0.000 0.000 0.817
W 0.667 0.333 0.751
S 0.667 0.333 0.939
S 0.667 0.333 0.059
W 0.000 0.000 0.499

## SmMo6S8 (meta-GGA SCAN)

Data for SmMo6S8 at its PBEsol-relaxed geometry.

Computed properties:
Formation energy without anion corrections: -1030 meV per atom

Cell lengths 6.409, 6.409, 6.409 Å; angles 88.66, 88.66, 88.66 degrees
Positions (direct):
S 0.874 0.245 0.626
S 0.241 0.241 0.241
Mo 0.222 0.420 0.563
S 0.126 0.755 0.374
Mo 0.778 0.580 0.437
S 0.755 0.374 0.126
S 0.374 0.126 0.755
S 0.245 0.626 0.874
S 0.759 0.759 0.759
Mo 0.420 0.563 0.222
Sm 0.000 0.000 0.000
Mo 0.580 0.437 0.778
Mo 0.437 0.778 0.580
S 0.626 0.874 0.245
Mo 0.563 0.222 0.420

## Sn2Mo15S19 (meta-GGA SCAN)

Data for Sn2Mo15S19 at its PBEsol-relaxed geometry.

Computed properties:
Formation energy without anion corrections: -679 meV per atom

Cell lengths 9.130, 9.130, 18.908 Å; angles 90.00, 90.00, 120.00 degrees
Positions (direct):
S 0.995 0.375 0.142
S 0.327 0.043 0.950
Mo 0.350 0.505 0.750
S 0.716 0.673 0.950
Mo 0.843 0.823 0.060
S 0.301 0.958 0.750
S 0.043 0.716 0.050
Mo 0.315 0.825 0.867
S 0.995 0.375 0.358
S 0.620 0.995 0.642
Mo 0.980 0.157 0.440
S 0.375 0.380 0.642
Mo 0.685 0.175 0.367
S 0.673 0.957 0.450
Mo 0.157 0.177 0.940
Mo 0.175 0.489 0.633
S 0.343 0.301 0.250
Mo 0.489 0.315 0.367
Mo 0.489 0.315 0.133
Mo 0.823 0.980 0.560
Mo 0.175 0.489 0.867
Mo 0.020 0.843 0.940
S 0.000 0.000 0.158
S 0.957 0.284 0.950
Mo 0.845 0.350 0.250
Mo 0.650 0.495 0.250
S 0.380 0.005 0.142
Mo 0.177 0.020 0.440
Mo 0.177 0.020 0.060
S 0.333 0.667 0.537
Mo 0.825 0.511 0.133
S 0.042 0.343 0.750
S 0.667 0.333 0.463
Mo 0.020 0.843 0.560
Mo 0.495 0.845 0.750
S 0.000 0.000 0.342
S 0.625 0.620 0.358
S 0.005 0.625 0.642
S 0.284 0.327 0.450
S 0.284 0.327 0.050
Sn 0.333 0.667 0.100
Mo 0.823 0.980 0.940
Mo 0.157 0.177 0.560
Mo 0.155 0.650 0.750
S 0.375 0.380 0.858
S 0.333 0.667 0.963
S 0.000 0.000 0.658
S 0.380 0.005 0.358
Sn 0.667 0.333 0.900
Sn 0.333 0.667 0.400
S 0.625 0.620 0.142
S 0.657 0.699 0.750
Mo 0.685 0.175 0.133
Mo 0.511 0.685 0.867
Mo 0.505 0.155 0.250
S 0.000 0.000 0.842
S 0.043 0.716 0.450
S 0.667 0.333 0.037
Mo 0.980 0.157 0.060
Mo 0.315 0.825 0.633
S 0.958 0.657 0.250
S 0.620 0.995 0.858
Mo 0.511 0.685 0.633
Mo 0.825 0.511 0.367
S 0.957 0.284 0.550
S 0.716 0.673 0.550
S 0.699 0.042 0.250
Sn 0.667 0.333 0.600
Mo 0.843 0.823 0.440
S 0.005 0.625 0.858
S 0.673 0.957 0.050
S 0.327 0.043 0.550

## Ta2MoS6 (meta-GGA SCAN)

Data for Ta2MoS6 at its PBEsol-relaxed geometry.

Computed properties:
Formation energy without anion corrections: -1051 meV per atom

Cell lengths 5.621, 5.622, 6.325 Å; angles 81.44, 72.67, 60.01 degrees
Positions (direct):
Ta 0.500 0.667 0.500
S 0.592 0.328 0.242
S 0.747 0.672 0.757
Mo 0.833 0.000 0.500
Ta 0.167 0.333 0.500
S 0.419 0.328 0.757
S 0.247 0.000 0.242
S 0.075 0.000 0.757
S 0.920 0.672 0.242

## Ta3MoS8 (meta-GGA SCAN)

Data for Ta3MoS8 at its PBEsol-relaxed geometry.

Computed properties:
Formation energy without anion corrections: -1072 meV per atom

Cell lengths 3.259, 5.651, 12.250 Å; angles 94.43, 97.64, 90.00 degrees
Positions (direct):
Ta 0.375 0.789 0.750
S 0.438 0.151 0.876
Ta 0.625 0.541 0.249
Ta 0.125 0.042 0.250
S 0.060 0.353 0.120
S 0.312 0.109 0.625
Mo 0.875 0.293 0.750
S 0.690 0.897 0.379
S 0.811 0.599 0.623
S 0.560 0.853 0.120
S 0.190 0.397 0.379
S 0.939 0.642 0.878

## TaMoS2 (meta-GGA SCAN)

Data for TaMoS2 at its PBEsol-relaxed geometry.

Computed properties:
Formation energy without anion corrections: -316 meV per atom

Cell lengths 3.037, 3.037, 8.318 Å; angles 79.48, 79.48, 60.00 degrees
Positions (direct):
Ta 0.500 0.500 0.500
Mo 0.000 0.000 0.000
S 0.904 0.904 0.288
S 0.096 0.096 0.712

## TaMoS2 (meta-GGA SCAN)

Data for TaMoS2 at its PBEsol-relaxed geometry.

Computed properties:
Formation energy without anion corrections: -226 meV per atom

Cell lengths 4.401, 4.401, 7.747 Å; angles 106.50, 106.50, 90.00 degrees
Positions (direct):
S 0.125 0.136 0.750
Mo 0.500 0.500 0.000
S 0.625 0.614 0.750
Ta 0.250 0.750 0.500
Ta 0.000 0.000 0.000
S 0.386 0.875 0.250
S 0.864 0.375 0.250
Mo 0.750 0.250 0.500

## Te4Mo2WS2 (meta-GGA SCAN)

Data for Te4Mo2WS2 at its PBEsol-relaxed geometry.

Computed properties:
Formation energy without anion corrections: -386 meV per atom

Cell lengths 3.357, 3.357, 21.324 Å; angles 90.00, 90.00, 120.00 degrees
Positions (direct):
S 0.667 0.333 0.930
Te 0.333 0.667 0.778
Mo 0.667 0.333 0.690
W 0.333 0.667 0.000
Te 0.333 0.667 0.222
Te 0.333 0.667 0.603
Mo 0.667 0.333 0.310
Te 0.333 0.667 0.397
S 0.667 0.333 0.070

## Te4Mo2WS2 (meta-GGA SCAN)

Data for Te4Mo2WS2 at its PBEsol-relaxed geometry.

Computed properties:
Formation energy without anion corrections: -385 meV per atom

Cell lengths 3.358, 3.358, 21.242 Å; angles 90.00, 90.00, 120.00 degrees
Positions (direct):
Mo 0.667 0.333 0.645
Te 0.667 0.333 0.067
W 0.000 0.000 0.334
S 0.667 0.333 0.405
Te 0.000 0.000 0.733
Te 0.000 0.000 0.558
S 0.667 0.333 0.264
Te 0.667 0.333 0.892
Mo 0.000 0.000 0.980

## Te4MoW2S2 (meta-GGA SCAN)

Data for Te4MoW2S2 at its PBEsol-relaxed geometry.

Computed properties:
Formation energy without anion corrections: -302 meV per atom

Cell lengths 3.361, 3.361, 21.364 Å; angles 90.00, 90.00, 120.00 degrees
Positions (direct):
Mo 0.000 0.000 0.979
Te 0.000 0.000 0.558
Te 0.667 0.333 0.892
S 0.667 0.333 0.405
Te 0.000 0.000 0.733
Te 0.667 0.333 0.066
W 0.667 0.333 0.645
S 0.667 0.333 0.264
W 0.000 0.000 0.334

## TmMo6S8 (meta-GGA SCAN)

Data for TmMo6S8 at its PBEsol-relaxed geometry.

Computed properties:
Formation energy without anion corrections: -1000 meV per atom

Cell lengths 6.369, 6.369, 6.369 Å; angles 89.10, 89.10, 89.10 degrees
Positions (direct):
S 0.763 0.763 0.763
S 0.757 0.128 0.368
S 0.872 0.632 0.243
S 0.368 0.757 0.128
S 0.128 0.368 0.757
Mo 0.220 0.561 0.420
Mo 0.580 0.780 0.439
S 0.243 0.872 0.632
S 0.237 0.237 0.237
Mo 0.420 0.220 0.561
Mo 0.439 0.580 0.780
Mo 0.561 0.420 0.220
S 0.632 0.243 0.872
Mo 0.780 0.439 0.580
Tm 0.000 0.000 0.000

## MoW2S6 (meta-GGA SCAN)

Data for MoW2S6 at its PBEsol-relaxed geometry.

Computed properties:
Formation energy without anion corrections: -866 meV per atom

Cell lengths 3.142, 3.142, 19.443 Å; angles 90.00, 90.00, 120.00 degrees
Positions (direct):
S 0.333 0.667 0.760
W 0.667 0.333 0.320
W 0.667 0.333 0.680
S 0.333 0.667 0.240
S 0.333 0.667 0.599
S 0.667 0.333 0.080
S 0.333 0.667 0.401
S 0.667 0.333 0.920
Mo 0.333 0.667 0.000

## MoW2S6 (meta-GGA SCAN)

Data for MoW2S6 at its PBEsol-relaxed geometry.

Computed properties:
Formation energy without anion corrections: -867 meV per atom

Cell lengths 3.142, 3.142, 19.813 Å; angles 90.00, 90.00, 120.00 degrees
Positions (direct):
S 0.000 0.000 0.575
S 0.667 0.333 0.049
S 0.667 0.333 0.414
W 0.667 0.333 0.654
S 0.000 0.000 0.733
S 0.667 0.333 0.892
Mo 0.000 0.000 0.971
W 0.000 0.000 0.334
S 0.667 0.333 0.255

## MoWS3 (meta-GGA SCAN)

Data for MoWS3 at its PBEsol-relaxed geometry.

Computed properties:
Formation energy without anion corrections: 1024 meV per atom

Cell lengths 4.583, 4.583, 4.583 Å; angles 90.00, 90.00, 90.00 degrees
Site moments in Bohr magnetons follow the coordinates.
Positions (direct):
S 0.500 0.000 0.000  -0.10
S 0.000 0.000 0.500  -0.10
S 0.000 0.500 0.000  -0.10
Mo 0.000 0.000 0.000  0.98
W 0.500 0.500 0.500  3.19

## ZnMo3S (meta-GGA SCAN)

Data for ZnMo3S at its PBEsol-relaxed geometry.

Computed properties:
Formation energy without anion corrections: 2054 meV per atom

Cell lengths 4.524, 4.524, 4.524 Å; angles 90.00, 90.00, 90.00 degrees
Positions (direct):
S 0.500 0.500 0.500
Zn 0.000 0.000 0.000
Mo 0.000 0.500 0.000
Mo 0.500 0.000 0.000
Mo 0.000 0.000 0.500

## ZnMoS2 (meta-GGA SCAN)

Data for ZnMoS2 at its PBEsol-relaxed geometry.

Computed properties:
Formation energy without anion corrections: -239 meV per atom

Cell lengths 5.508, 6.342, 5.508 Å; angles 115.74, 90.00, 115.74 degrees
Site moments in Bohr magnetons follow the coordinates.
Positions (direct):
S 0.125 0.750 0.626  0.00
S 0.625 0.750 0.124  0.00
S 0.374 0.250 0.375  0.00
S 0.876 0.250 0.875  0.00
Mo 0.000 0.000 0.000  1.22
Mo 0.250 0.500 0.750  1.22
Zn 0.750 0.500 0.250  0.05
Zn 0.500 0.000 0.500  0.05

## Zr9Mo4S (meta-GGA SCAN)

Data for Zr9Mo4S at its PBEsol-relaxed geometry.

Computed properties:
Formation energy without anion corrections: -297 meV per atom

Cell lengths 8.559, 8.592, 8.592 Å; angles 120.00, 90.00, 90.00 degrees
Positions (direct):
Zr 0.452 0.199 0.801
Zr 0.250 0.537 0.463
S 0.750 0.667 0.333
Zr 0.048 0.199 0.397
Mo 0.250 0.217 0.109
Zr 0.548 0.397 0.199
Zr 0.250 0.925 0.463
Zr 0.548 0.801 0.199
Mo 0.750 0.109 0.217
S 0.250 0.333 0.667
Mo 0.250 0.891 0.109
Mo 0.500 0.000 0.000
Zr 0.452 0.603 0.801
Zr 0.548 0.801 0.603
Zr 0.452 0.199 0.397
Zr 0.048 0.199 0.801
Mo 0.750 0.109 0.891
Zr 0.952 0.397 0.199
Mo 0.250 0.891 0.783
Zr 0.952 0.801 0.199
Zr 0.250 0.537 0.075
Mo 0.750 0.783 0.891
Zr 0.952 0.801 0.603
Zr 0.750 0.463 0.537
Zr 0.048 0.603 0.801
Zr 0.750 0.463 0.925
Mo 0.000 0.000 0.000
Zr 0.750 0.075 0.537